i | Here is Tb3Ho4Tm4 after structural relaxation from the Alexandria database. Energies are from PBE-GGA.

Values from the calculation:
total magnetic moment = 0.00 μB per cell

Lattice parameters (Å, degrees): 3.4503 5.5547 17.9382 81.13 84.50 89.99
With the nearest neighbours (Å) after each atom.
Space group P-1 (No. 2)
Inequivalent atoms, fractional coordinates:
Tb  0.0000  0.0000  0.0000 [1 per cell]  2 Tb 3.45, 4 Ho 3.63, 8 Tm 3.64-3.65
Tb  0.1364  0.6365  0.7268 [2 per cell]  2 Tb 3.45, 6 Tm 3.62-3.64, 6 Ho 3.65-3.83
Ho  0.2664  0.2666  0.4668 [2 per cell]  4 Tm 3.34-3.48, 6 Ho 3.45-3.47
Ho  0.4094  0.9098  0.1812 [2 per cell]  3 Tm 3.18-3.20, 2 Ho 3.45
Tm  0.3194  0.8191  0.3617 [2 per cell]  5 Ho 3.18-3.48, 2 Tm 3.45
Tm  0.4548  0.4547  0.0912 [2 per cell]  2 Ho 3.20, 3 Tm 3.22-3.45

---

ii | Here is Tb3Ho4Tm4 after structural relaxation from the Alexandria database. Energies are from PBE-GGA.

Values from the calculation:
total magnetic moment = 0.00 μB per cell

Lattice parameters (Å, degrees): 3.4974 11.0770 18.0655 90.00 90.00 90.00
With the nearest neighbours (Å) after each atom.
Space group Immm (No. 71)
Inequivalent atoms, fractional coordinates:
Tb  0.0000  0.0000  0.0000 [2 per cell]  2 Tb 3.50, 4 Ho 3.69
Tb  0.0000  0.5000  0.1095 [4 per cell]  2 Tb 3.50, 6 Ho 3.50-3.56, 4 Tm 3.52
Ho  0.0000  0.0000  0.2186 [4 per cell]  6 Tm 3.32-3.47, 2 Ho 3.50, 2 Tb 3.56
Ho  0.0000  0.2071  0.5000 [4 per cell]  2 Tm 3.14, 2 Ho 3.50, 4 Tb 3.50
Tm  0.0000  0.2571  0.3288 [8 per cell]  4 Ho 3.14-3.47, 4 Tm 3.34-3.50

---

Pick i: it beats the second-best structure by 117 meV per atom.

---

i | Here is Tb3Ho2Tm5 after structural relaxation from the Alexandria database. Energies are from PBE-GGA.

Values from the calculation:
total magnetic moment = 0.00 μB per cell

Lattice parameters (Å, degrees): 10.5498 15.5400 9.3621 90.00 124.26 90.00
With the nearest neighbours (Å) after each atom.
Space group C2/c (No. 15)
Inequivalent atoms, fractional coordinates:
Tb  0.0000  0.2324  0.2500 [4 per cell]  3 Tm 3.19-3.56, 4 Ho 3.26-3.52, 2 Tb 3.50
Tb  0.1475  0.1224  0.0472 [8 per cell]  1 Ho 3.13, 6 Tm 3.25-3.50, 1 Tb 3.50
Ho  0.1503  0.3801  0.5485 [8 per cell]  2 Tb 3.13-3.26, 4 Tm 3.25-3.48
Tm  0.0000  0.0271  0.2500 [4 per cell]  5 Tb 3.19-3.40, 2 Ho 3.38, 2 Tm 3.42
Tm  0.0000  0.2704  0.7500 [4 per cell]  1 Tm 3.14, 4 Tb 3.25-3.50, 2 Ho 3.51
Tm  0.0000  0.4723  0.7500 [4 per cell]  3 Tm 3.14-3.43, 4 Ho 3.25-3.39, 2 Tb 3.41
Tm  0.2466  0.3865  0.2428 [8 per cell]  3 Tm 3.42-3.59, 3 Tb 3.47-3.56, 2 Ho 3.48-3.54

---

ii | Here is Tb3Ho2Tm5 after structural relaxation from the Alexandria database. Energies are from PBE-GGA.

Values from the calculation:
total magnetic moment = 0.00 μB per cell

Lattice parameters (Å, degrees): 12.6678 16.7786 6.1865 90.00 90.00 90.00
With the nearest neighbours (Å) after each atom.
Space group Ibam (No. 72)
Inequivalent atoms, fractional coordinates:
Tb  0.0000  0.0000  0.2500 [4 per cell]  2 Tb 3.09, 2 Tm 3.19, 4 Ho 3.30
Tb  0.1591  0.2485  0.0000 [8 per cell]  4 Ho 3.43-3.64, 4 Tm 3.45-3.63
Ho  0.1011  0.1563  0.5000 [8 per cell]  1 Tm 3.15, 3 Tb 3.30-3.43
Tm  0.0000  0.5000  0.2500 [4 per cell]  8 Tm 3.09-3.28
Tm  0.0980  0.3441  0.5000 [8 per cell]  1 Ho 3.15, 2 Tm 3.28, 1 Tb 3.45
Tm  0.2482  0.5000  0.2500 [8 per cell]  3 Tm 3.09-3.14, 1 Tb 3.19

---

Pick i: it beats the second-best structure by 153 meV per atom.

---

i | Here is Tb2Ho7Tm2 after structural relaxation from the Alexandria database. Energies are from PBE-GGA.

Values from the calculation:
total magnetic moment = 0.00 μB per cell

Lattice parameters (Å, degrees): 8.8475 9.2891 8.5863 90.00 100.82 90.00
With the nearest neighbours (Å) after each atom.
Space group C2/m (No. 12)
Inequivalent atoms, fractional coordinates:
Tb  0.1053  0.0000  0.3577 [4 per cell]  1 Tb 3.34, 8 Ho 3.36-3.49, 2 Tm 3.45
Ho  0.0000  0.5000  0.5000 [2 per cell]  2 Tb 3.48, 10 Ho 3.52-3.86
Ho  0.1515  0.5000  0.9095 [4 per cell]  6 Ho 3.34-3.64, 1 Tb 3.43, 4 Tm 3.45
Ho  0.2358  0.1838  0.7120 [8 per cell]  2 Tm 3.33-3.52, 3 Tb 3.36-3.49, 4 Ho 3.41-3.65
Tm  0.0000  0.1755  0.0000 [4 per cell]  1 Tm 3.26, 8 Ho 3.33-3.52, 2 Tb 3.45

---

ii | Here is Tb2Ho7Tm2 after structural relaxation from the Alexandria database. Energies are from PBE-GGA.

Values from the calculation:
total magnetic moment = 0.00 μB per cell

Lattice parameters (Å, degrees): 11.0410 11.3940 5.9798 90.00 113.19 90.00
With the nearest neighbours (Å) after each atom.
Space group C2/m (No. 12)
Inequivalent atoms, fractional coordinates:
Tb  0.0000  0.2161  0.0000 [4 per cell]  6 Ho 3.24-3.45
Ho  0.0000  0.0000  0.5000 [2 per cell]  6 Ho 3.23-3.43
Ho  0.1741  0.2361  0.6743 [8 per cell]  4 Ho 3.16-3.53, 2 Tb 3.24-3.39
Ho  0.2326  0.0000  0.0852 [4 per cell]  5 Ho 3.32-3.53, 3 Tm 3.40-3.63, 2 Tb 3.45
Tm  0.0897  0.5000  0.3041 [4 per cell]  2 Tm 3.39-3.61, 7 Ho 3.40-3.71, 2 Tb 3.65

---

Pick i: it beats the second-best structure by 54 meV per atom.

---

i | Here is TbHo3Tm4 after structural relaxation from the Alexandria database. Energies are from PBE-GGA.

Values from the calculation:
total magnetic moment = 0.00 μB per cell

Lattice parameters (Å, degrees): 11.0869 7.1731 6.2024 90.00 90.00 90.00
With the nearest neighbours (Å) after each atom.
Space group Pmn2_1 (No. 31)
Inequivalent atoms, fractional coordinates:
Tb  0.0000  0.1264  0.0000 [2 per cell]  6 Ho 3.46-3.59, 6 Tm 3.47-3.61
Ho  0.0000  0.8740  0.4995 [2 per cell]  6 Tm 3.45-3.60, 4 Ho 3.46-3.47, 2 Tb 3.59
Ho  0.2501  0.1263  0.3335 [4 per cell]  6 Tm 3.46-3.61, 2 Tb 3.46-3.47, 4 Ho 3.46-3.59
Tm  0.0000  0.3761  0.5006 [2 per cell]  6 Tm 3.45-3.58, 4 Ho 3.46-3.60, 2 Tb 3.58
Tm  0.0000  0.6237  0.9997 [2 per cell]  6 Tm 3.45-3.58, 4 Ho 3.46-3.58, 2 Tb 3.57-3.61
Tm  0.2493  0.6237  0.3331 [4 per cell]  6 Tm 3.45-3.57, 5 Ho 3.45-3.61, 1 Tb 3.47

---

ii | Here is TbHo3Tm4 after structural relaxation from the Alexandria database. Energies are from PBE-GGA.

Values from the calculation:
total magnetic moment = 0.00 μB per cell

Lattice parameters (Å, degrees): 5.5455 25.8556 3.5069 90.00 90.00 90.00
With the nearest neighbours (Å) after each atom.
Space group Cmmm (No. 65)
Inequivalent atoms, fractional coordinates:
Tb  0.0000  0.0000  0.0000 [2 per cell]  4 Tm 3.21, 4 Ho 3.28, 2 Tb 3.51
Ho  0.0000  0.3438  0.0000 [4 per cell]  2 Ho 3.51, 10 Tm 3.55-3.71
Ho  0.0000  0.5000  0.5000 [2 per cell]  4 Tb 3.28, 2 Ho 3.51
Tm  0.0000  0.1040  0.5000 [4 per cell]  1 Tm 3.08, 2 Tb 3.21
Tm  0.0000  0.2232  0.5000 [4 per cell]  3 Tm 3.08-3.10

---

Pick i: it beats the second-best structure by 215 meV per atom.